# LiTm2Al3, relaxed, DFT PBE
data_LiTm2Al3
_cell_length_a 5.724
_cell_length_b 5.724
_cell_length_c 8.662
_cell_angle_alpha 103.60
_cell_angle_beta 103.60
_cell_angle_gamma 106.75
_space_group_name_H-M_alt 'P 1'
_space_group_IT_number 1
loop_
_space_group_symop_operation_xyz
'x,y,z'
loop_
_atom_site_label
_atom_site_fract_x
_atom_site_fract_y
_atom_site_fract_z
Li1 0.668 0.668 0.336
Li2 0.332 0.332 0.664
Tm1 0.250 0.750 0.500
Tm2 0.748 0.748 0.000
Tm3 0.750 0.250 0.500
Tm4 0.252 0.252 0.000
Al1 0.334 0.834 0.168
Al2 0.166 0.666 0.832
Al3 0.666 0.166 0.832
Al4 0.834 0.334 0.168
Al5 0.167 0.167 0.333
Al6 0.833 0.833 0.667
# Uncorrected energy in eV for the cell shown: -48.4
# Calculated formation energy in eV per atom: -0.35